<1>
DFT (PBE) results for Cs3SiAu after structural relaxation.

```
Cs3SiAu
1.0
6.751 0.000 0.000
0.000 6.751 0.000
0.000 0.000 6.751
Cs Si Au
3 1 1
direct
0.000 0.000 0.500
0.000 0.500 0.000
0.500 0.000 0.000
0.500 0.500 0.500
0.000 0.000 0.000
```

Properties
DOS at the Fermi energy: 3.98 states/eV per cell
V: 308 Å³ per cell



<2>
DFT (PBE) results for Cs3SiAu after structural relaxation.

```
Cs3SiAu
1.0
5.773 -5.685 0.000
5.773 5.685 0.000
-5.511 0.000 7.897
Cs Si Au
6 2 2
direct
0.059 0.458 0.778
0.100 0.100 0.284
0.458 0.059 0.778
0.542 0.941 0.222
0.900 0.900 0.716
0.941 0.542 0.222
0.484 0.484 0.606
0.516 0.516 0.394
0.294 0.294 0.105
0.706 0.706 0.895
```

Properties
DOS at the Fermi energy: 5.87 states/eV per cell
V: 518 Å³ per cell



It comes down to <2>, which is 0.292 eV/atom more stable than the next structure.



<1>
DFT (PBE) results for CsSiAu after structural relaxation.

```
CsSiAu
1.0
5.856 0.000 0.000
0.000 3.954 0.000
-0.007 0.000 8.137
Cs Si Au
2 2 2
direct
0.000 0.250 0.243
0.000 0.750 0.757
0.499 0.250 0.576
0.501 0.750 0.424
0.500 0.250 0.876
0.500 0.750 0.124
```

Properties
DOS at the Fermi energy: 3.14 states/eV per cell
V: 188 Å³ per cell



<2>
DFT (PBE) results for CsSiAu after structural relaxation.

```
CsSiAu
1.0
4.686 0.000 0.000
0.000 8.468 0.000
0.000 0.000 10.988
Cs Si Au
4 4 4
direct
0.000 0.000 0.200
0.000 0.000 0.800
0.500 0.500 0.300
0.500 0.500 0.700
0.000 0.367 0.000
0.000 0.633 0.000
0.500 0.133 0.500
0.500 0.867 0.500
0.000 0.209 0.500
0.000 0.791 0.500
0.500 0.291 0.000
0.500 0.709 0.000
```

Properties
DOS at the Fermi energy: 2.68 states/eV per cell
V: 436 Å³ per cell



<3>
DFT (PBE) results for CsSiAu after structural relaxation.

```
CsSiAu
1.0
4.249 0.000 0.000
-2.125 3.680 0.000
0.000 0.000 6.107
Cs Si Au
1 1 1
direct
0.000 0.000 0.000
0.333 0.667 0.500
0.667 0.333 0.500
```

Properties
DOS at the Fermi energy: 2.20 states/eV per cell
V: 96 Å³ per cell



It comes down to <2>, which is 0.096 eV/atom more stable than the next structure.



<1>
DFT (PBE) results for CsSi2Au2 after structural relaxation.

```
CsSi2Au2
1.0
4.502 0.000 0.000
0.000 4.502 0.000
0.000 0.000 13.737
Cs Si Au
2 4 4
direct
0.000 0.000 0.000
0.500 0.500 0.500
0.000 0.000 0.334
0.000 0.000 0.666
0.500 0.500 0.166
0.500 0.500 0.834
0.000 0.500 0.250
0.000 0.500 0.750
0.500 0.000 0.250
0.500 0.000 0.750
```

Properties
DOS at the Fermi energy: 4.81 states/eV per cell
V: 278 Å³ per cell



<2>
DFT (PBE) results for CsSi2Au2 after structural relaxation.

```
CsSi2Au2
1.0
4.658 0.000 0.000
0.000 4.658 0.000
0.000 0.000 13.178
Cs Si Au
2 4 4
direct
0.000 0.000 0.000
0.500 0.500 0.500
0.000 0.500 0.250
0.000 0.500 0.750
0.500 0.000 0.250
0.500 0.000 0.750
0.000 0.000 0.321
0.000 0.000 0.679
0.500 0.500 0.179
0.500 0.500 0.821
```

Properties
DOS at the Fermi energy: 3.13 states/eV per cell
V: 286 Å³ per cell



It comes down to <2>, which is 0.016 eV/atom more stable than the next structure.



<1>
DFT (PBE) results for Cs2SnAu2 after structural relaxation.

```
Cs2SnAu2
1.0
7.610 -3.459 0.000
7.610 3.459 0.000
-6.793 0.000 8.923
Cs Sn Au
4 2 4
direct
0.100 0.100 0.387
0.330 0.330 0.956
0.670 0.670 0.044
0.900 0.900 0.613
0.326 0.326 0.310
0.674 0.674 0.690
0.110 0.110 0.077
0.469 0.469 0.612
0.531 0.531 0.388
0.890 0.890 0.923
```

Properties
DOS at the Fermi energy: 3.50 states/eV per cell
V: 470 Å³ per cell



<2>
DFT (PBE) results for Cs2SnAu2 after structural relaxation.

```
Cs2SnAu2
1.0
7.559 0.000 0.000
0.000 7.559 0.000
0.000 0.000 5.976
Cs Sn Au
4 2 4
direct
0.176 0.324 0.000
0.324 0.824 0.000
0.676 0.176 0.000
0.824 0.676 0.000
0.000 0.000 0.500
0.500 0.500 0.500
0.137 0.637 0.500
0.363 0.137 0.500
0.637 0.863 0.500
0.863 0.363 0.500
```

Properties
DOS at the Fermi energy: 5.68 states/eV per cell
V: 341 Å³ per cell



<3>
DFT (PBE) results for Cs2SnAu2 after structural relaxation.

```
Cs2SnAu2
1.0
6.080 -3.658 0.000
6.080 3.658 0.000
-1.624 0.000 8.551
Cs Sn Au
4 2 4
direct
0.041 0.267 0.143
0.267 0.041 0.643
0.733 0.959 0.357
0.959 0.733 0.857
0.428 0.572 0.250
0.572 0.428 0.750
0.249 0.519 0.498
0.481 0.751 0.002
0.519 0.249 0.998
0.751 0.481 0.502
```

Properties
DOS at the Fermi energy: 2.41 states/eV per cell
V: 380 Å³ per cell



It comes down to <3>, which is 0.068 eV/atom more stable than the next structure.



<1>
DFT (PBE) results for Cs2SnAu4 after structural relaxation.

```
Cs2SnAu4
1.0
0.000 4.642 5.876
4.638 0.000 5.876
4.638 4.642 0.000
Cs Sn Au
2 1 4
direct
0.250 0.250 0.250
0.750 0.750 0.750
0.000 0.000 0.000
0.290 0.710 0.290
0.290 0.710 0.710
0.710 0.290 0.290
0.710 0.290 0.710
```

Properties
DOS at the Fermi energy: 3.10 states/eV per cell
V: 253 Å³ per cell



<2>
DFT (PBE) results for Cs2SnAu4 after structural relaxation.

```
Cs2SnAu4
1.0
5.374 0.000 0.000
0.000 5.374 0.000
0.000 0.000 18.412
Cs Sn Au
4 2 8
direct
0.000 0.000 0.146
0.000 0.000 0.854
0.500 0.500 0.354
0.500 0.500 0.646
0.000 0.000 0.500
0.500 0.500 0.000
0.000 0.000 0.349
0.000 0.000 0.651
0.000 0.500 0.000
0.000 0.500 0.500
0.500 0.000 0.000
0.500 0.000 0.500
0.500 0.500 0.151
0.500 0.500 0.849
```

Properties
DOS at the Fermi energy: 2.16 states/eV per cell
V: 532 Å³ per cell



It comes down to <2>, which is 0.010 eV/atom more stable than the next structure.



<1>
DFT (PBE) results for CsSn4Au4 after structural relaxation.

```
CsSn4Au4
1.0
7.084 0.000 0.000
0.000 7.084 0.000
0.000 0.000 9.580
Cs Sn Au
2 8 8
direct
0.250 0.750 0.250
0.750 0.250 0.750
0.009 0.250 0.113
0.250 0.009 0.613
0.250 0.491 0.613
0.491 0.250 0.113
0.509 0.750 0.887
0.750 0.509 0.387
0.750 0.991 0.387
0.991 0.750 0.887
0.051 0.250 0.407
0.250 0.051 0.907
0.250 0.449 0.907
0.449 0.250 0.407
0.551 0.750 0.593
0.750 0.551 0.093
0.750 0.949 0.093
0.949 0.750 0.593
```

Properties
DOS at the Fermi energy: 7.45 states/eV per cell
V: 481 Å³ per cell



<2>
DFT (PBE) results for CsSn4Au4 after structural relaxation.

```
CsSn4Au4
1.0
9.662 0.000 0.000
0.000 9.662 0.000
0.000 0.000 5.544
Cs Sn Au
2 8 8
direct
0.250 0.250 0.250
0.750 0.750 0.750
0.121 0.622 0.165
0.122 0.879 0.665
0.378 0.621 0.665
0.379 0.878 0.165
0.621 0.122 0.835
0.622 0.379 0.335
0.878 0.121 0.335
0.879 0.378 0.835
0.067 0.906 0.172
0.094 0.567 0.672
0.406 0.933 0.672
0.433 0.594 0.172
0.567 0.406 0.828
0.594 0.067 0.328
0.906 0.433 0.328
0.933 0.094 0.828
```

Properties
DOS at the Fermi energy: 6.56 states/eV per cell
V: 517 Å³ per cell



It comes down to <1>, which is 0.009 eV/atom more stable than the next structure.



<1>
DFT (PBE) results for CsSn3Au3 after structural relaxation.

```
CsSn3Au3
1.0
4.078 2.355 8.830
-4.078 2.355 8.830
0.000 -4.709 8.830
Cs Sn Au
2 6 6
direct
0.167 0.167 0.167
0.833 0.833 0.833
0.072 0.379 0.699
0.301 0.928 0.621
0.379 0.699 0.072
0.621 0.301 0.928
0.699 0.072 0.379
0.928 0.621 0.301
0.034 0.739 0.394
0.261 0.606 0.966
0.394 0.034 0.739
0.606 0.966 0.261
0.739 0.394 0.034
0.966 0.261 0.606
```

Properties
DOS at the Fermi energy: 11.43 states/eV per cell
V: 509 Å³ per cell



<2>
DFT (PBE) results for CsSn3Au3 after structural relaxation.

```
CsSn3Au3
1.0
7.749 0.000 0.000
0.000 7.749 0.000
0.000 0.000 7.749
Cs Sn Au
2 6 6
direct
0.000 0.000 0.000
0.500 0.500 0.500
0.000 0.250 0.500
0.000 0.750 0.500
0.250 0.500 0.000
0.500 0.000 0.250
0.500 0.000 0.750
0.750 0.500 0.000
0.000 0.500 0.250
0.000 0.500 0.750
0.250 0.000 0.500
0.500 0.250 0.000
0.500 0.750 0.000
0.750 0.000 0.500
```

Properties
DOS at the Fermi energy: 11.88 states/eV per cell
V: 465 Å³ per cell



<3>
DFT (PBE) results for CsSn3Au3 after structural relaxation.

```
CsSn3Au3
1.0
6.226 3.595 3.304
-6.226 3.595 3.304
0.000 -7.190 3.304
Cs Sn Au
2 6 6
direct
0.000 0.000 0.000
0.500 0.500 0.500
0.012 0.430 0.820
0.320 0.930 0.512
0.430 0.820 0.012
0.512 0.320 0.930
0.820 0.012 0.430
0.930 0.512 0.320
0.162 0.687 0.672
0.172 0.187 0.662
0.187 0.662 0.172
0.662 0.172 0.187
0.672 0.162 0.687
0.687 0.672 0.162
```

Properties
DOS at the Fermi energy: 4.08 states/eV per cell
V: 444 Å³ per cell



It comes down to <3>, which is 0.061 eV/atom more stable than the next structure.



<1>
DFT (PBE) results for Cs3SnAu after structural relaxation.

```
Cs3SnAu
1.0
6.791 0.000 0.000
0.000 6.791 0.000
0.000 0.000 6.791
Cs Sn Au
3 1 1
direct
0.000 0.000 0.500
0.000 0.500 0.000
0.500 0.000 0.000
0.500 0.500 0.500
0.000 0.000 0.000
```

Properties
DOS at the Fermi energy: 4.29 states/eV per cell
V: 313 Å³ per cell



<2>
DFT (PBE) results for Cs3SnAu after structural relaxation.

```
Cs3SnAu
1.0
6.176 -5.586 0.000
6.176 5.586 0.000
-5.520 0.000 7.846
Cs Sn Au
6 2 2
direct
0.072 0.475 0.803
0.104 0.104 0.310
0.475 0.072 0.803
0.525 0.928 0.197
0.896 0.896 0.690
0.928 0.525 0.197
0.492 0.492 0.643
0.508 0.508 0.357
0.245 0.245 0.071
0.755 0.755 0.929
```

Properties
DOS at the Fermi energy: 6.65 states/eV per cell
V: 541 Å³ per cell



It comes down to <2>, which is 0.145 eV/atom more stable than the next structure.



<1>
DFT (PBE) results for Cs2Sn2Au3 after structural relaxation.

```
Cs2Sn2Au3
1.0
7.545 0.000 0.000
0.000 7.990 0.000
-3.097 0.000 8.616
Cs Sn Au
4 4 6
direct
0.192 0.100 0.406
0.192 0.400 0.906
0.808 0.600 0.094
0.808 0.900 0.594
0.355 0.606 0.555
0.355 0.894 0.055
0.645 0.106 0.945
0.645 0.394 0.445
0.000 0.000 0.000
0.000 0.500 0.500
0.439 0.673 0.290
0.439 0.827 0.790
0.561 0.173 0.210
0.561 0.327 0.710
```

Properties
DOS at the Fermi energy: 5.55 states/eV per cell
V: 519 Å³ per cell



<2>
DFT (PBE) results for Cs2Sn2Au3 after structural relaxation.

```
Cs2Sn2Au3
1.0
12.885 0.000 0.000
0.000 4.924 0.000
-1.516 0.000 7.238
Cs Sn Au
4 4 6
direct
0.143 0.000 0.352
0.357 0.500 0.648
0.643 0.500 0.352
0.857 0.000 0.648
0.085 0.500 0.877
0.415 0.000 0.123
0.585 0.000 0.877
0.915 0.500 0.123
0.000 0.500 0.500
0.191 0.000 0.927
0.309 0.500 0.073
0.500 0.000 0.500
0.691 0.500 0.927
0.809 0.000 0.073
```

Properties
DOS at the Fermi energy: 3.45 states/eV per cell
V: 459 Å³ per cell



It comes down to <1>, which is 0.019 eV/atom more stable than the next structure.